This record from the Alexandria database describes a geometry-optimized Y7Ho2Er3 structure. The functional is GGA-PBE. Values from VASP.

## Properties
Its formation energy is 1.1 eV per formula unit. Its symmetry is No. 10.

Structure (Quantum ESPRESSO input):
```
&SYSTEM
  ibrav = 0, nat = 12, ntyp = 3
/
ATOMIC_SPECIES
Y 88.91 Y.upf
Ho 164.93 Ho.upf
Er 167.26 Er.upf
CELL_PARAMETERS angstrom
5.7672 0.0000 0.0000
0.0000 3.5731 0.0000
-1.1862 0.0000 18.5746
ATOMIC_POSITIONS crystal
Y 0.0000 0.0000 0.0000
Y 0.1832 0.5000 0.1811
Y 0.2580 0.5000 0.5366
Y 0.3209 0.0000 0.8562
Y 0.6791 0.0000 0.1438
Y 0.7420 0.5000 0.4634
Y 0.8168 0.5000 0.8189
Ho 0.2948 0.5000 0.7046
Ho 0.7052 0.5000 0.2954
Er 0.2189 0.0000 0.3673
Er 0.5000 0.5000 0.0000
Er 0.7811 0.0000 0.6327
```



This record from the Alexandria database describes a geometry-optimized Y12HoEr3 structure. The functional is GGA-PBE. Values from VASP.

## Properties
Its formation energy is 0.4 eV per formula unit. Its symmetry is No. 123.

Structure (Quantum ESPRESSO input):
```
&SYSTEM
  ibrav = 0, nat = 16, ntyp = 3
/
ATOMIC_SPECIES
Y 88.91 Y.upf
Ho 164.93 Ho.upf
Er 167.26 Er.upf
CELL_PARAMETERS angstrom
5.0300 0.0000 0.0000
0.0000 5.0300 0.0000
0.0000 0.0000 20.1213
ATOMIC_POSITIONS crystal
Y 0.0000 0.0000 0.0000
Y 0.0000 0.0000 0.2502
Y 0.0000 0.0000 0.5000
Y 0.0000 0.0000 0.7498
Y 0.0000 0.5000 0.1252
Y 0.0000 0.5000 0.3751
Y 0.0000 0.5000 0.6249
Y 0.0000 0.5000 0.8748
Y 0.5000 0.0000 0.1252
Y 0.5000 0.0000 0.3751
Y 0.5000 0.0000 0.6249
Y 0.5000 0.0000 0.8748
Ho 0.5000 0.5000 0.0000
Er 0.5000 0.5000 0.2501
Er 0.5000 0.5000 0.5000
Er 0.5000 0.5000 0.7499
```



This record from the Alexandria database describes a geometry-optimized Y6Ho3Er structure. The functional is GGA-PBE. Values from VASP.

## Properties
Its formation energy is 1.2 eV per formula unit. Its symmetry is No. 36.

Structure (Quantum ESPRESSO input):
```
&SYSTEM
  ibrav = 0, nat = 20, ntyp = 3
/
ATOMIC_SPECIES
Y 88.91 Y.upf
Ho 164.93 Ho.upf
Er 167.26 Er.upf
CELL_PARAMETERS angstrom
4.8139 -10.4579 0.0000
4.8139 10.4579 0.0000
0.0000 0.0000 6.3725
ATOMIC_POSITIONS crystal
Y 0.0151 0.9849 0.5000
Y 0.1046 0.5419 0.0072
Y 0.2581 0.3784 0.2493
Y 0.3008 0.6992 0.4673
Y 0.3784 0.2581 0.7493
Y 0.4581 0.8954 0.0072
Y 0.5419 0.1046 0.5072
Y 0.6216 0.7419 0.2493
Y 0.6992 0.3008 0.9673
Y 0.7419 0.6216 0.7493
Y 0.8954 0.4581 0.5072
Y 0.9849 0.0151 0.0000
Ho 0.0408 0.2950 0.6698
Ho 0.2950 0.0408 0.1698
Ho 0.4191 0.5809 0.7736
Ho 0.5809 0.4191 0.2736
Ho 0.7050 0.9592 0.6698
Ho 0.9592 0.7050 0.1698
Er 0.1608 0.8392 0.6982
Er 0.8392 0.1608 0.1982
```



This record from the Alexandria database describes a geometry-optimized Y12Ho7Er structure. The functional is GGA-PBE. Values from VASP.

## Properties
Its formation energy is 6.6 eV per formula unit. Its symmetry is No. 148.

Structure (Quantum ESPRESSO input):
```
&SYSTEM
  ibrav = 0, nat = 20, ntyp = 3
/
ATOMIC_SPECIES
Y 88.91 Y.upf
Ho 164.93 Ho.upf
Er 167.26 Er.upf
CELL_PARAMETERS angstrom
9.2976 5.3680 2.2291
-9.2976 5.3680 2.2291
0.0000 -10.7359 2.2291
ATOMIC_POSITIONS crystal
Y 0.0033 0.7940 0.5839
Y 0.2060 0.4161 0.9967
Y 0.2319 0.7546 0.3001
Y 0.2454 0.6999 0.7681
Y 0.3001 0.2319 0.7546
Y 0.4161 0.9967 0.2060
Y 0.5839 0.0033 0.7940
Y 0.6999 0.7681 0.2454
Y 0.7546 0.3001 0.2319
Y 0.7681 0.2454 0.6999
Y 0.7940 0.5839 0.0033
Y 0.9967 0.2060 0.4161
Ho 0.0000 0.0000 0.0000
Ho 0.1345 0.4357 0.2998
Ho 0.2998 0.1345 0.4357
Ho 0.4357 0.2998 0.1345
Ho 0.5643 0.7002 0.8655
Ho 0.7002 0.8655 0.5643
Ho 0.8655 0.5643 0.7002
Er 0.5000 0.5000 0.5000
```